Entry 1:
DFT (PBE-GGA) results for an optimized crystal structure of HoFeTe.

It has space group R-3m (No. 166, hexagonal axes), with a = 3.8009 Å, b = 3.8009 Å, c = 36.3186 Å, α = 90.00°, β = 90.00° and γ = 120.00°. The distinct sites, in fractional coordinates, are Ho at (0.0000, 0.0000, 0.0566), Fe at (0.0000, 0.0000, 0.3346) and Te at (0.0000, 0.0000, 0.2174).

Its uncorrected formation energy is -405 meV/atom. For the total magnetization, the calculation gives 0.0 μB per formula unit.

---

Entry 2:
DFT (PBE-GGA) results for an optimized crystal structure of CoPPd2.

It has space group I-42d (No. 122), with a = 3.702 Å, b = 3.702 Å, c = 17.195 Å, α = 90.00°, β = 90.00° and γ = 90.00°. The distinct sites, in fractional coordinates, are Co at (0.000, 0.000, 0.000), P at (0.000, 0.000, 0.500) and Pd at (0.245, 0.250, 0.625).

As for the energy relative to the elements: 147 meV per atom. For the total magnetization, the calculation gives 1.6 μB per formula unit.

---

Entry 3:
DFT (PBE-GGA) results for an optimized crystal structure of ErThRh2.

It has space group P4/mmm (No. 123), with a = 4.925 Å, b = 4.925 Å, c = 3.509 Å, α = 90.00°, β = 90.00° and γ = 90.00°. The distinct sites, in fractional coordinates, are Er at (0.000, 0.000, 0.000), Th at (0.500, 0.500, 0.000) and Rh at (0.000, 0.500, 0.500).

As for the energy relative to the elements: -845 meV per atom. For the total magnetization, the calculation gives 0.0 μB per formula unit.

---

Entry 4:
DFT (PBE-GGA) results for an optimized crystal structure of Na7IN12.

It has space group R-3 (No. 148, hexagonal axes), with a = 12.7592 Å, b = 12.7592 Å, c = 7.8418 Å, α = 90.00°, β = 90.00° and γ = 120.00°. The distinct sites, in fractional coordinates, are Na at (0.0000, 0.0000, 0.0000), Na at (0.0159, 0.5377, 0.2639), I at (0.0000, 0.0000, 0.5000), N at (0.0370, 0.7582, 0.2963) and N at (0.0458, 0.8525, 0.8611).

Its uncorrected formation energy is 2198 meV/atom. For the total magnetization, the calculation gives 30.0 μB per formula unit.

---

Entry 5:
DFT (PBE-GGA) results for an optimized crystal structure of PrThTeN2.

It has space group I4mm (No. 107), with a = 4.108 Å, b = 4.108 Å, c = 13.692 Å, α = 90.00°, β = 90.00° and γ = 90.00°. The distinct sites, in fractional coordinates, are Pr at (0.000, 0.000, 0.000), Th at (0.000, 0.000, 0.331), Te at (0.000, 0.000, 0.667) and N at (0.000, 0.500, 0.409).

Its uncorrected formation energy is -1375 meV/atom. For the total magnetization, the calculation gives 0.0 μB per formula unit.

---

Entry 6:
DFT (PBE-GGA) results for an optimized crystal structure of Mg6AlGa.

It has space group Amm2 (No. 38), with a = 4.985 Å, b = 6.236 Å, c = 10.799 Å, α = 90.00°, β = 90.00° and γ = 90.00°. The distinct sites, in fractional coordinates, are Mg at (0.000, 0.000, 0.000), Mg at (0.000, 0.245, 0.253), Mg at (0.500, 0.000, 0.831), Mg at (0.500, 0.245, 0.578), Al at (0.500, 0.000, 0.327) and Ga at (0.000, 0.000, 0.502).

As for the energy relative to the elements: -10 meV per atom. For the total magnetization, the calculation gives 0.0 μB per formula unit.

---

Entry 7:
DFT (PBE-GGA) results for an optimized crystal structure of Ac2PrPb.

It has space group P4/mmm (No. 123), with a = 4.518 Å, b = 4.518 Å, c = 7.426 Å, α = 90.00°, β = 90.00° and γ = 90.00°. The distinct sites, in fractional coordinates, are Ac at (0.000, 0.000, 0.231), Pr at (0.500, 0.500, 0.500) and Pb at (0.500, 0.500, 0.000).

As for the energy relative to the elements: -210 meV per atom. For the total magnetization, the calculation gives 0.0 μB per formula unit.

---

Entry 8:
DFT (PBE-GGA) results for an optimized crystal structure of B2Mo2Ru.

It has space group Cmcm (No. 63), with a = 4.706 Å, b = 11.616 Å, c = 4.570 Å, α = 90.00°, β = 90.00° and γ = 90.00°. The distinct sites, in fractional coordinates, are B at (0.187, 0.106, 0.250), Mo at (0.000, 0.089, 0.750), Mo at (0.000, 0.279, 0.250) and Ru at (0.000, 0.500, 0.000).

As for the energy relative to the elements: 232 meV per atom. For the total magnetization, the calculation gives 0.0 μB per formula unit.